4
Lattice="5.1379 0.0000 0.0000 2.5689 4.4495 0.0000 2.5689 1.4832 4.1951" Properties=species:S:1:pos:R:3 comment="Tl2RhBr | Alexandria | PBE | relaxed" relative_energy_mev_per_atom=375 vol_a3_per_atom=24.0 formation_energy_uncorrected_mev_per_atom=306 total_magnetization_mub_per_fu=0.0 final_energy_ev_per_atom=-3.134 pbc="T T T"
Tl 0.0000 0.0000 0.0000
Tl 2.5689 1.4832 1.0488
Rh 7.7068 4.4495 3.1463
Br 5.1379 2.9664 2.0975